A plane-wave DFT calculation with PBE was carried out for crystalline LaAg2 at its relaxed geometry.

Its final energy is -3.479 eV per atom. As for the density of states at the Fermi level: 1.7 states/eV per cell. The energy relative to the elements is 0.064 eV/atom.

```
data_LaAg2
_cell_length_a 3.2807
_cell_length_b 3.2807
_cell_length_c 7.6333
_cell_angle_alpha 90.00
_cell_angle_beta 90.00
_cell_angle_gamma 120.00
_space_group_name_H-M_alt 'P -3 m 1'
_space_group_IT_number 164
_space_group_name_Hall '-P 3 2"'
loop_
_atom_site_label
_atom_site_type_symbol
_atom_site_fract_x
_atom_site_fract_y
_atom_site_fract_z
_atom_site_occupancy
La1 La 0.0000 0.0000 0.0000 1
Ag1 Ag 0.3333 0.6667 0.6442 1
```


A plane-wave DFT calculation with PBE was carried out for crystalline ZrRu2Rh at its relaxed geometry.

Its final energy is -8.785 eV per atom. As for the density of states at the Fermi level: 7.4 states/eV per cell. The energy relative to the elements is -0.172 eV/atom.

```
data_ZrRu2Rh
_cell_length_a 9.2212
_cell_length_b 2.8882
_cell_length_c 4.8481
_cell_angle_alpha 90.00
_cell_angle_beta 101.17
_cell_angle_gamma 90.00
_space_group_name_H-M_alt 'C 1 2/m 1'
_space_group_IT_number 12
loop_
_space_group_symop_operation_xyz
'x,y,z'
'-x,-y,-z'
'-x,y,-z'
'x,-y,z'
'x+1/2,y+1/2,z'
'-x+1/2,-y+1/2,-z'
'-x+1/2,y+1/2,-z'
'x+1/2,-y+1/2,z'
loop_
_atom_site_label
_atom_site_type_symbol
_atom_site_fract_x
_atom_site_fract_y
_atom_site_fract_z
_atom_site_occupancy
Zr1 Zr 0.0000 0.0000 0.0000 1
Ru1 Ru 0.2433 0.0000 0.7238 1
Rh1 Rh 0.0000 0.5000 0.5000 1
```


A plane-wave DFT calculation with PBE was carried out for crystalline La4Zn2H at its relaxed geometry.

Its final energy is -3.874 eV per atom. As for the density of states at the Fermi level: 13.8 states/eV per cell.

```
data_La4Zn2H
_cell_length_a 4.9258
_cell_length_b 4.9258
_cell_length_c 15.6553
_cell_angle_alpha 90.00
_cell_angle_beta 90.00
_cell_angle_gamma 90.00
_space_group_name_H-M_alt 'I 4/m m m'
_space_group_IT_number 139
_space_group_name_Hall '-I 4 2'
loop_
_atom_site_label
_atom_site_type_symbol
_atom_site_fract_x
_atom_site_fract_y
_atom_site_fract_z
_atom_site_occupancy
La1 La 0.0000 0.0000 0.1891 1
La2 La 0.0000 0.5000 0.0000 1
Zn1 Zn 0.0000 0.0000 0.3760 1
H1 H 0.0000 0.0000 0.0000 1
```